In3Ag2Hg | Alexandria via LeMat-Bulk | PBE | optimized geometry; magnetization = 0.0 Bohr magnetons per cell; formation energy from the elements = 0.025 eV per atom; N(E_F) = 0.262 states/eV per atom; calculated density = 9.0 Mg/m³
1.0
13.0372 0.0000 -1.5558
0.0000 6.1698 0.0000
-1.0491 0.0000 7.1039
In Ag Hg
12 8 4
Cartesian
6.8929 6.1407 5.6596
5.0952 0.0291 -0.1115
0.8988 3.1141 2.8856
0.8674 0.0300 2.8444
11.0893 3.0558 2.6626
6.8614 3.0549 5.6185
4.5927 0.0221 3.4642
5.1267 3.1150 -0.0703
7.3954 6.1477 2.0840
11.1207 6.1398 2.7038
0.3522 3.1070 6.4138
11.6359 3.0628 -0.8656
9.5140 1.5223 0.6112
2.4741 4.6476 4.9370
2.9977 4.6482 1.3898
2.9964 1.5633 1.3843
8.9917 4.6065 4.1639
9.5172 4.6072 0.6071
2.4709 1.5627 4.9410
8.9904 1.5216 4.1583
4.6281 3.1039 3.4673
11.6712 6.1508 -0.8626
0.3169 0.0190 6.4107
7.3601 3.0659 2.0809